<P>
# Hf2TeO PBE optimized geometry
# magnetization = 0.00 μB/f.u.
data_Hf2TeO
_space_group_name_H-M_alt 'P 1'
_space_group_IT_number 1
_space_group_name_Hall 'P 1'
_cell_length_a 6.5767
_cell_length_b 6.5767
_cell_length_c 6.5767
_cell_angle_alpha 90.00
_cell_angle_beta 90.00
_cell_angle_gamma 90.00
loop_
_atom_site_label
_atom_site_fract_x
_atom_site_fract_y
_atom_site_fract_z
Hf1 0.2500 0.2500 0.2500
Hf2 0.2500 0.2500 0.7500
Hf3 0.2500 0.7500 0.2500
Hf4 0.2500 0.7500 0.7500
Hf5 0.7500 0.2500 0.2500
Hf6 0.7500 0.2500 0.7500
Hf7 0.7500 0.7500 0.2500
Hf8 0.7500 0.7500 0.7500
Te1 0.0000 0.0000 0.0000
Te2 0.0000 0.5000 0.5000
Te3 0.5000 0.0000 0.5000
Te4 0.5000 0.5000 0.0000
O1 0.0000 0.0000 0.5000
O2 0.0000 0.5000 0.0000
O3 0.5000 0.0000 0.0000
O4 0.5000 0.5000 0.5000

***

<Q>
# Hf2TeO PBE optimized geometry
# magnetization = 0.00 μB/f.u.
data_Hf2TeO
_space_group_name_H-M_alt 'P 1'
_space_group_IT_number 1
_space_group_name_Hall 'P 1'
_cell_length_a 5.4624
_cell_length_b 5.4624
_cell_length_c 11.8479
_cell_angle_alpha 90.00
_cell_angle_beta 90.00
_cell_angle_gamma 90.00
loop_
_atom_site_label
_atom_site_fract_x
_atom_site_fract_y
_atom_site_fract_z
Hf1 0.1233 0.2500 0.1250
Hf2 0.2500 0.6233 0.3750
Hf3 0.2500 0.8767 0.8750
Hf4 0.3767 0.2500 0.6250
Hf5 0.6233 0.7500 0.6250
Hf6 0.7500 0.1233 0.8750
Hf7 0.7500 0.3767 0.3750
Hf8 0.8767 0.7500 0.1250
Te1 0.0000 0.0000 0.5000
Te2 0.0000 0.5000 0.7500
Te3 0.5000 0.0000 0.2500
Te4 0.5000 0.5000 0.0000
O1 0.0000 0.0000 0.0000
O2 0.0000 0.5000 0.2500
O3 0.5000 0.0000 0.7500
O4 0.5000 0.5000 0.5000

***

Which of them is most stable, and which least? Most stable: <Q>; least stable: <P>.

***

<P>
# HfTiO PBE optimized geometry
# magnetization = 0.00 μB/f.u.
data_HfTiO
_space_group_name_H-M_alt 'P 1'
_space_group_IT_number 1
_space_group_name_Hall 'P 1'
_cell_length_a 3.1182
_cell_length_b 3.1182
_cell_length_c 4.9788
_cell_angle_alpha 90.00
_cell_angle_beta 90.00
_cell_angle_gamma 120.00
loop_
_atom_site_label
_atom_site_fract_x
_atom_site_fract_y
_atom_site_fract_z
Hf1 0.0000 0.0000 0.0000
Ti1 0.3333 0.6667 0.4695
O1 0.6667 0.3333 0.7205

***

<Q>
# HfTiO PBE optimized geometry
# magnetization = 0.00 μB/f.u.
data_HfTiO
_space_group_name_H-M_alt 'P 1'
_space_group_IT_number 1
_space_group_name_Hall 'P 1'
_cell_length_a 3.1115
_cell_length_b 4.4899
_cell_length_c 6.3596
_cell_angle_alpha 90.00
_cell_angle_beta 90.00
_cell_angle_gamma 90.00
loop_
_atom_site_label
_atom_site_fract_x
_atom_site_fract_y
_atom_site_fract_z
Hf1 0.2500 0.2500 0.1507
Hf2 0.7500 0.7500 0.8493
Ti1 0.2500 0.7500 0.4409
Ti2 0.7500 0.2500 0.5591
O1 0.2500 0.7500 0.1032
O2 0.7500 0.2500 0.8968

***

Which of them is most stable, and which least? Most stable: <P>; least stable: <Q>.

***

<P>
# HfTiO2 PBE optimized geometry
# magnetization = 0.00 μB/f.u.
data_HfTiO2
_space_group_name_H-M_alt 'P 1'
_space_group_IT_number 1
_space_group_name_Hall 'P 1'
_cell_length_a 5.4965
_cell_length_b 5.4965
_cell_length_c 5.4965
_cell_angle_alpha 90.00
_cell_angle_beta 90.00
_cell_angle_gamma 90.00
loop_
_atom_site_label
_atom_site_fract_x
_atom_site_fract_y
_atom_site_fract_z
Hf1 0.0000 0.0000 0.0000
Hf2 0.0000 0.5000 0.5000
Hf3 0.5000 0.0000 0.5000
Hf4 0.5000 0.5000 0.0000
Ti1 0.0000 0.0000 0.5000
Ti2 0.0000 0.5000 0.0000
Ti3 0.5000 0.0000 0.0000
Ti4 0.5000 0.5000 0.5000
O1 0.2500 0.2500 0.2500
O2 0.2500 0.2500 0.7500
O3 0.2500 0.7500 0.2500
O4 0.2500 0.7500 0.7500
O5 0.7500 0.2500 0.2500
O6 0.7500 0.2500 0.7500
O7 0.7500 0.7500 0.2500
O8 0.7500 0.7500 0.7500

***

<Q>
# HfTiO2 PBE optimized geometry
# magnetization = 0.00 μB/f.u.
data_HfTiO2
_space_group_name_H-M_alt 'P 1'
_space_group_IT_number 1
_space_group_name_Hall 'P 1'
_cell_length_a 3.4749
_cell_length_b 3.4749
_cell_length_c 16.3627
_cell_angle_alpha 90.00
_cell_angle_beta 90.00
_cell_angle_gamma 120.00
loop_
_atom_site_label
_atom_site_fract_x
_atom_site_fract_y
_atom_site_fract_z
Hf1 0.0000 0.0000 0.0000
Hf2 0.3333 0.6667 0.6667
Hf3 0.6667 0.3333 0.3333
Ti1 0.0000 0.0000 0.5000
Ti2 0.3333 0.6667 0.1667
Ti3 0.6667 0.3333 0.8333
O1 0.0000 0.0000 0.3804
O2 0.0000 0.0000 0.6196
O3 0.3333 0.6667 0.0471
O4 0.3333 0.6667 0.2862
O5 0.6667 0.3333 0.7138
O6 0.6667 0.3333 0.9529

***

<R>
# HfTiO2 PBE optimized geometry
# magnetization = 0.00 μB/f.u.
data_HfTiO2
_space_group_name_H-M_alt 'P 1'
_space_group_IT_number 1
_space_group_name_Hall 'P 1'
_cell_length_a 4.7924
_cell_length_b 4.7924
_cell_length_c 9.6582
_cell_angle_alpha 90.00
_cell_angle_beta 90.00
_cell_angle_gamma 90.00
loop_
_atom_site_label
_atom_site_fract_x
_atom_site_fract_y
_atom_site_fract_z
Hf1 0.0000 0.0000 0.0000
Hf2 0.0000 0.5000 0.2500
Hf3 0.5000 0.0000 0.7500
Hf4 0.5000 0.5000 0.5000
Ti1 0.0000 0.0000 0.5000
Ti2 0.0000 0.5000 0.7500
Ti3 0.5000 0.0000 0.2500
Ti4 0.5000 0.5000 0.0000
O1 0.2414 0.2500 0.6250
O2 0.2500 0.7414 0.8750
O3 0.2500 0.7586 0.3750
O4 0.2586 0.2500 0.1250
O5 0.7414 0.7500 0.1250
O6 0.7500 0.2414 0.3750
O7 0.7500 0.2586 0.8750
O8 0.7586 0.7500 0.6250

***

Which of them is most stable, and which least? Most stable: <Q>; least stable: <P>.

***

<P>
# HfTi3O PBE optimized geometry
# magnetization = 2.23 μB/f.u.
data_HfTi3O
_space_group_name_H-M_alt 'P 1'
_space_group_IT_number 1
_space_group_name_Hall 'P 1'
_cell_length_a 4.8494
_cell_length_b 4.8494
_cell_length_c 4.8494
_cell_angle_alpha 90.00
_cell_angle_beta 90.00
_cell_angle_gamma 90.00
loop_
_atom_site_label
_atom_site_fract_x
_atom_site_fract_y
_atom_site_fract_z
Hf1 0.0000 0.0000 0.0000
Ti1 0.0000 0.0000 0.5000
Ti2 0.0000 0.5000 0.0000
Ti3 0.5000 0.0000 0.0000
O1 0.5000 0.5000 0.5000

***

<Q>
# HfTi3O PBE optimized geometry
# magnetization = 0.00 μB/f.u.
data_HfTi3O
_space_group_name_H-M_alt 'P 1'
_space_group_IT_number 1
_space_group_name_Hall 'P 1'
_cell_length_a 4.2372
_cell_length_b 4.2372
_cell_length_c 4.2372
_cell_angle_alpha 90.00
_cell_angle_beta 90.00
_cell_angle_gamma 90.00
loop_
_atom_site_label
_atom_site_fract_x
_atom_site_fract_y
_atom_site_fract_z
Hf1 0.0000 0.0000 0.0000
Ti1 0.0000 0.5000 0.5000
Ti2 0.5000 0.0000 0.5000
Ti3 0.5000 0.5000 0.0000
O1 0.5000 0.5000 0.5000

***

<R>
# HfTi3O PBE optimized geometry
# magnetization = 0.00 μB/f.u.
data_HfTi3O
_space_group_name_H-M_alt 'P 1'
_space_group_IT_number 1
_space_group_name_Hall 'P 1'
_cell_length_a 7.5772
_cell_length_b 2.9610
_cell_length_c 14.1110
_cell_angle_alpha 90.00
_cell_angle_beta 90.00
_cell_angle_gamma 90.00
loop_
_atom_site_label
_atom_site_fract_x
_atom_site_fract_y
_atom_site_fract_z
Hf1 0.2489 0.2500 0.0237
Hf2 0.2511 0.7500 0.5237
Hf3 0.7489 0.2500 0.4763
Hf4 0.7511 0.7500 0.9763
Ti1 0.0698 0.2500 0.3537
Ti2 0.0713 0.7500 0.8533
Ti3 0.2492 0.7500 0.1997
Ti4 0.2508 0.2500 0.6997
Ti5 0.4287 0.2500 0.3533
Ti6 0.4302 0.7500 0.8537
Ti7 0.5698 0.2500 0.1463
Ti8 0.5713 0.7500 0.6467
Ti9 0.7492 0.7500 0.3003
Ti10 0.7508 0.2500 0.8003
Ti11 0.9287 0.2500 0.1467
Ti12 0.9302 0.7500 0.6463
O1 0.0007 0.2500 0.7498
O2 0.4993 0.7500 0.2498
O3 0.5007 0.2500 0.7502
O4 0.9993 0.7500 0.2502

***

Which of them is most stable, and which least? Most stable: <Q>; least stable: <P>.